# 1
## TaCoCu3 (SCAN)

Data for TaCoCu3 at its PBEsol-relaxed geometry.

Cell and atoms, written as POSCAR:
```
TaCoCu3
1.0
-3.9655 2.1175 1.0930
-0.9519 -3.3529 3.0422
2.1845 2.3827 3.3096
Cu Ta Co
3 1 1
Cartesian
-0.4760 -1.6765 1.5211 Cu
1.0923 1.1914 1.6548 Cu
-1.9827 1.0587 0.5465 Cu
0.0000 0.0000 0.0000 Ta
-1.3664 0.5736 3.7224 Co
```

For the total magnetization, the calculation gives 2.1 μB per formula unit. The value obtained for the density of states at the Fermi level is 4.6 states/eV/cell. The calculated density is 7.22 Mg/m³. The value obtained for the total energy is -120.32 eV for the cell shown.


# 2
## AlIr2Se (SCAN)

Data for AlIr2Se at its PBEsol-relaxed geometry.

Cell and atoms, written as POSCAR:
```
AlIr2Se
1.0
2.7110 0.0000 0.0000
0.0000 3.6816 0.0000
-1.3555 0.0000 7.0041
Al Ir Se
1 2 1
Cartesian
1.3555 1.8408 1.9728 Al
0.0000 0.0000 0.8923 Ir
0.0000 1.8408 6.3613 Ir
0.0000 0.0000 4.7674 Se
```

The calculation puts the uncorrected formation energy at -0.17 eV/atom. For the total magnetization, the calculation gives 0.0 μB per formula unit. The value obtained for the density of states at the Fermi level is 2.1 states/eV/cell. The calculated density is 11.65 Mg/m³. The calculation puts the energy above the most stable polymorph in this dataset at 0.000 eV/atom. The value obtained for the total energy is -170.69 eV for the cell shown.


# 3
## Cd3Se (SCAN)

Data for Cd3Se at its PBEsol-relaxed geometry.

Cell and atoms, written as POSCAR:
```
Cd3Se
1.0
2.9321 0.0000 0.0000
-1.4661 2.5393 0.0000
0.0000 0.0000 11.4204
Cd Se
3 1
Cartesian
0.0000 0.0000 8.6080 Cd
0.0000 1.6929 0.0000 Cd
0.0000 0.0000 2.8124 Cd
0.0000 1.6929 5.7102 Se
```

The calculation puts the uncorrected formation energy at 0.11 eV/atom. For the total magnetization, the calculation gives 0.0 μB per formula unit. The value obtained for the density of states at the Fermi level is 1.6 states/eV/cell. The calculated density is 8.13 Mg/m³. The value obtained for the total energy is -110.88 eV for the cell shown.


# 4
## Ti2N (SCAN)

Data for Ti2N at its PBEsol-relaxed geometry.

Cell and atoms, written as POSCAR:
```
Ti2N
1.0
-3.0193 -2.7596 -0.4128
1.1781 -1.8121 3.4971
-1.7790 4.9007 0.7222
Ti N
4 2
Cartesian
-1.6088 -1.2837 -0.1232 Ti
-4.1100 1.1390 1.9747 Ti
-1.4490 1.4035 1.2154 Ti
-2.1712 -1.0745 2.5911 Ti
-2.8594 -0.0723 0.9258 N
-0.9206 -2.2859 1.5421 N
```

The calculation puts the uncorrected formation energy at -1.46 eV/atom. For the total magnetization, the calculation gives 0.0 μB per formula unit. The value obtained for the density of states at the Fermi level is 2.5 states/eV/cell. The calculated density is 4.91 Mg/m³. The value obtained for the total energy is -91.46 eV for the cell shown.


# 5
## Sb2PbSe (SCAN)

Data for Sb2PbSe at its PBEsol-relaxed geometry.

Cell and atoms, written as POSCAR:
```
Sb2PbSe
1.0
3.8694 0.0000 0.0000
0.0000 5.4926 0.0000
-1.9347 -2.7463 4.9611
Pb Se Sb
1 1 2
Cartesian
0.0000 2.7463 2.2743 Pb
0.0000 0.0000 4.8036 Se
1.9347 0.0000 2.5445 Sb
0.0000 0.0000 0.2998 Sb
```

The calculation puts the uncorrected formation energy at 0.12 eV/atom. For the total magnetization, the calculation gives 0.0 μB per formula unit. The value obtained for the density of states at the Fermi level is 2.0 states/eV/cell. The calculated density is 8.34 Mg/m³. The calculation puts the energy above the most stable polymorph in this dataset at 0.313 eV/atom. The value obtained for the total energy is -169.92 eV for the cell shown.


# 6
## LiI2NO (SCAN)

Data for LiI2NO at its PBEsol-relaxed geometry.

Cell and atoms, written as POSCAR:
```
LiI2NO
1.0
-1.5429 3.5201 0.7799
-1.8781 0.2130 -4.6769
-4.2403 -2.2135 1.6019
I Li N O
2 1 1 1
Cartesian
-0.9390 0.1065 -2.3384 I
-2.1201 -1.1067 0.8010 I
-3.8306 0.7598 -1.1475 Li
-0.7714 1.7600 0.3900 N
0.0000 0.0000 0.0000 O
```

The calculation puts the uncorrected formation energy at 0.78 eV/atom. For the total magnetization, the calculation gives 2.1 μB per formula unit. The value obtained for the density of states at the Fermi level is 1.7 states/eV/cell. The calculated density is 4.84 Mg/m³. The value obtained for the total energy is -87.52 eV for the cell shown.


# 7
## NbCo2PdW (SCAN)

Data for NbCo2PdW at its PBEsol-relaxed geometry.

Cell and atoms, written as POSCAR:
```
NbCo2PdW
1.0
4.3199 0.0000 0.0000
0.0000 4.3199 0.0000
0.0000 0.0000 4.7535
Co W Pd Nb
2 1 1 1
Cartesian
2.1599 0.0000 0.0000 Co
0.0000 2.1599 0.0000 Co
0.0000 0.0000 2.3767 W
2.1599 2.1599 2.3767 Pd
0.0000 0.0000 0.0000 Nb
```

For the total magnetization, the calculation gives 3.0 μB per formula unit. The value obtained for the density of states at the Fermi level is 5.3 states/eV/cell. The calculated density is 9.38 Mg/m³. The value obtained for the total energy is -160.57 eV for the cell shown.


# 8
## CdCo3Ir (SCAN)

Data for CdCo3Ir at its PBEsol-relaxed geometry.

Cell and atoms, written as POSCAR:
```
CdCo3Ir
1.0
4.4874 0.0000 0.0000
0.0000 4.4874 0.0000
0.0000 0.0000 4.4874
Ir Co Cd
1 3 1
Cartesian
0.0000 0.0000 0.0000 Ir
2.2437 0.0000 0.0000 Co
0.0000 2.2437 0.0000 Co
0.0000 0.0000 2.2437 Co
2.2437 2.2437 2.2437 Cd
```

For the total magnetization, the calculation gives 7.1 μB per formula unit. The value obtained for the density of states at the Fermi level is 5.8 states/eV/cell. The calculated density is 8.85 Mg/m³. The value obtained for the total energy is -147.74 eV for the cell shown.


# 9
## KTlCd2 (SCAN)

Data for KTlCd2 at its PBEsol-relaxed geometry.

Cell and atoms, written as POSCAR:
```
KTlCd2
1.0
-0.9410 -2.8639 1.2759
3.5345 -0.1659 2.2344
-3.6715 3.9234 6.0989
Cd K Tl
2 1 1
Cartesian
0.5866 -0.7559 2.9349 Cd
-0.0613 0.0655 0.1018 Cd
-1.8108 1.9351 3.0081 K
-1.6282 1.6108 6.6139 Tl
```

For the total magnetization, the calculation gives 0.0 μB per formula unit. The value obtained for the density of states at the Fermi level is 1.7 states/eV/cell. The calculated density is 6.98 Mg/m³. The calculation puts the energy above the most stable polymorph in this dataset at 0.000 eV/atom. The value obtained for the total energy is -141.76 eV for the cell shown.


# 10
## AsRhCl2 (SCAN)

Data for AsRhCl2 at its PBEsol-relaxed geometry.

Cell and atoms, written as POSCAR:
```
AsRhCl2
1.0
4.1873 0.0000 0.0000
0.0000 4.1873 0.0000
-2.0936 -2.0936 8.2183
Cl Rh As
4 2 2
Cartesian
-1.0468 -1.1152 6.1638 Cl
1.0468 1.1152 6.1638 Cl
3.2088 1.0468 2.0546 Cl
0.9784 3.1405 2.0546 Cl
0.0000 0.0000 0.0000 Rh
0.0000 2.0936 4.1092 Rh
2.0936 2.0936 0.0000 As
2.0936 0.0000 4.1092 As
```

The calculation puts the uncorrected formation energy at 0.30 eV/atom. For the total magnetization, the calculation gives 0.0 μB per formula unit. The value obtained for the density of states at the Fermi level is 3.0 states/eV/cell. The calculated density is 5.73 Mg/m³. The calculation puts the energy above the most stable polymorph in this dataset at 1.060 eV/atom. The value obtained for the total energy is -137.43 eV for the cell shown.


# 11
## Ta5Mo3 (SCAN)

Data for Ta5Mo3 at its PBEsol-relaxed geometry.

Cell and atoms, written as POSCAR:
```
Ta5Mo3
1.0
-0.6996 -2.9778 0.9143
5.3335 -0.1587 3.5646
-5.9849 2.4152 3.2866
Ta Mo
5 3
Cartesian
-2.8032 0.2382 4.2049 Ta
-4.6645 2.3669 4.1399 Ta
-1.9453 2.2860 5.9572 Ta
-1.2137 -0.8808 1.7768 Ta
1.4640 -0.9678 3.5423 Ta
-0.3165 1.1363 3.4587 Mo
-0.1513 0.1693 6.0099 Mo
2.3073 1.0582 5.2123 Mo
```

For the total magnetization, the calculation gives 0.0 μB per formula unit. The value obtained for the density of states at the Fermi level is 6.6 states/eV/cell. The calculated density is 14.89 Mg/m³. The calculation puts the energy above the most stable polymorph in this dataset at 0.022 eV/atom. The value obtained for the total energy is -438.60 eV for the cell shown.


# 12
## HgSbP (SCAN)

Data for HgSbP at its PBEsol-relaxed geometry.

Cell and atoms, written as POSCAR:
```
HgSbP
1.0
-1.7741 1.3710 2.6126
-2.8928 -0.2083 -1.8551
1.3606 -5.8611 1.7312
Sb Hg P
1 1 1
Cartesian
-0.5787 -3.1408 1.2552 Sb
-0.0172 -0.0935 0.0374 Hg
-2.7103 -1.4641 1.1962 P
```

The calculation puts the uncorrected formation energy at 0.37 eV/atom. For the total magnetization, the calculation gives 0.0 μB per formula unit. The value obtained for the density of states at the Fermi level is 1.5 states/eV/cell. The calculated density is 8.58 Mg/m³. The value obtained for the total energy is -114.70 eV for the cell shown.


# 13
## TeSe3F (SCAN)

Data for TeSe3F at its PBEsol-relaxed geometry.

Cell and atoms, written as POSCAR:
```
TeSe3F
1.0
-1.6215 2.2533 -3.7311
2.6577 -2.6441 -2.7518
-3.4547 -3.0917 -0.3658
F Se Te
1 3 1
Cartesian
0.0000 0.0000 0.0000 F
-0.8107 1.1266 -1.8655 Se
1.3288 -1.3221 -1.3759 Se
-1.7273 -1.5459 -0.1829 Se
-1.2093 -1.7413 -3.4243 Te
```

The calculation puts the uncorrected formation energy at 0.54 eV/atom. For the total magnetization, the calculation gives 0.0 μB per formula unit. The value obtained for the density of states at the Fermi level is 2.8 states/eV/cell. The calculated density is 6.33 Mg/m³. The value obtained for the total energy is -98.32 eV for the cell shown.


# 14
## Na2CaPS (SCAN)

Data for Na2CaPS at its PBEsol-relaxed geometry.

Cell and atoms, written as POSCAR:
```
Na2CaPS
1.0
4.8173 0.0000 0.0000
0.0000 6.1985 0.0000
0.0000 0.0000 6.1985
Na P Ca S
2 1 1 1
Cartesian
0.0000 0.0000 3.0993 Na
0.0000 3.0993 0.0000 Na
2.4086 3.0993 3.0993 P
0.0000 0.0000 0.0000 Ca
2.4086 0.0000 0.0000 S
```

The calculation puts the uncorrected formation energy at 0.27 eV/atom. For the total magnetization, the calculation gives 1.1 μB per formula unit. The value obtained for the density of states at the Fermi level is 3.2 states/eV/cell. The calculated density is 1.34 Mg/m³. The value obtained for the total energy is -36.77 eV for the cell shown.


# 15
## ScCoAg2 (SCAN)

Data for ScCoAg2 at its PBEsol-relaxed geometry.

Cell and atoms, written as POSCAR:
```
ScCoAg2
1.0
3.2746 0.0000 0.0000
0.0000 3.2700 0.0000
0.0000 0.0000 5.8990
Co Ag Sc
1 2 1
Cartesian
0.0000 0.0000 2.9877 Co
0.0000 0.0000 0.0520 Ag
1.6373 1.6350 1.5444 Ag
1.6373 1.6350 4.2644 Sc
```

For the total magnetization, the calculation gives 1.0 μB per formula unit. The value obtained for the density of states at the Fermi level is 1.7 states/eV/cell. The calculated density is 8.40 Mg/m³. The value obtained for the total energy is -94.61 eV for the cell shown.